# 1
A plane-wave DFT calculation with PBE-GGA was carried out for a relaxed structure of BaZn2Ru.

Structure (POSCAR):
```
BaZn2Ru
1.0
4.383 0.000 0.000
-2.191 3.795 0.000
0.000 0.000 17.367
Ba Zn Ru
3 6 3
Cartesian
0.000 0.000 0.000
0.000 2.530 11.578
2.191 1.265 5.789
0.000 0.000 3.368
0.000 0.000 13.999
0.000 2.530 8.210
0.000 2.530 14.946
2.191 1.265 2.421
2.191 1.265 9.157
0.000 0.000 8.683
0.000 2.530 2.894
2.191 1.265 14.472
```

Volume   288.9 Å³/cell
N(E_F)   0.5974 states/eV/atom
Calculated density   6.37 Mg/m³
E_tot   -3.452 eV per atom

---

# 2
A plane-wave DFT calculation with PBE-GGA was carried out for a relaxed structure of Ba2ZnRu.

Structure (POSCAR):
```
Ba2ZnRu
1.0
8.426 0.000 0.000
0.000 3.742 0.000
-1.556 0.000 8.577
Ba Zn Ru
4 2 2
Cartesian
1.701 0.000 1.799
0.957 1.871 6.778
5.914 1.871 1.799
5.170 0.000 6.778
-0.778 0.000 4.288
3.435 1.871 4.288
0.000 1.871 0.000
4.213 0.000 0.000
```

Volume   270.4 Å³/cell
N(E_F)   0.8788 states/eV/atom
Calculated density   5.42 Mg/m³
E_tot   -3.118 eV per atom

---

# 3
A plane-wave DFT calculation with PBE-GGA was carried out for a relaxed structure of Ba4ZnRu.

Structure (POSCAR):
```
Ba4ZnRu
1.0
0.000 4.917 4.917
4.917 0.000 4.917
4.917 4.917 0.000
Ba Zn Ru
4 1 1
Cartesian
1.223 1.223 1.223
3.694 3.694 1.223
3.694 1.223 3.694
1.223 3.694 3.694
4.917 4.917 4.917
7.375 7.375 7.375
```

Volume   237.7 Å³/cell
N(E_F)   1.6222 states/eV/atom
Calculated density   5.00 Mg/m³
E_tot   -1.995 eV per atom

---

# 4
A plane-wave DFT calculation with PBE-GGA was carried out for a relaxed structure of BaZn2Ru.

Structure (POSCAR):
```
BaZn2Ru
1.0
4.922 0.000 0.000
0.000 4.922 0.000
0.000 0.000 17.529
Ba Zn Ru
4 8 4
Cartesian
0.000 1.230 6.573
0.000 3.691 10.955
2.461 1.230 2.191
2.461 3.691 15.338
0.000 0.000 0.000
0.000 2.461 0.000
1.230 1.230 13.146
1.230 3.691 4.382
2.461 0.000 8.764
2.461 2.461 8.764
3.691 1.230 13.146
3.691 3.691 4.382
0.000 1.230 15.338
0.000 3.691 2.191
2.461 1.230 10.955
2.461 3.691 6.573
```

Volume   424.6 Å³/cell
N(E_F)   0.2997 states/eV/atom
Calculated density   5.78 Mg/m³
E_tot   -3.257 eV per atom

---

ΔH_f (0 K) in eV per formula unit, matching the order above: -0.06, 1.92, 6.27, 0.72